Density functional theory data (PBE) for an optimized crystal structure of CsTb2S3.

As for the total energy: -5.49 eV/atom. The calculation puts the magnetization at 0.00 μB per formula unit.

The structure belongs to space group P2_1/m (No. 11); the cell edges are 7.495, 4.020 and 10.760 Å and the angles 90.00°, 103.46° and 90.00°. Symmetry generates all atoms from Cs at (0.027, 0.250, 0.344), Tb at (0.258, 0.250, 0.993), Tb at (0.499, 0.750, 0.317), S at (0.152, 0.750, 0.136), S at (0.333, 0.750, 0.526) and S at (0.396, 0.750, 0.849).

---

Density functional theory data (PBE) for an optimized crystal structure of Cs3TbS3.

The calculation puts the magnetization at 0.00 μB per formula unit. The value obtained for the excess energy over the best structure of this formula in the dataset is 0.0 meV per atom.

The structure belongs to space group C2/m (No. 12); the cell edges are 9.532, 14.719 and 8.576 Å and the angles 90.00°, 101.52° and 90.00°. Symmetry generates all atoms from Cs at (0.000, 0.185, 0.000), Cs at (0.000, 0.253, 0.500), Cs at (0.124, 0.500, 0.861), Tb at (0.175, 0.000, 0.642), S at (0.095, 0.000, 0.325) and S at (0.194, 0.357, 0.229).